Compound: ErCoNi2Ge2
Source: Alexandria
Functional: PBE-GGA
Structure: relaxed Values from VASP.

Geometry as Quantum ESPRESSO input:
```
&SYSTEM
  ibrav = 0, nat = 6, ntyp = 4
/
ATOMIC_SPECIES
Er 167.26 Er.upf
Co 58.93 Co.upf
Ni 58.69 Ni.upf
Ge 72.64 Ge.upf
ATOMIC_POSITIONS angstrom
Er 0.0000 0.0000 0.0000
Co 0.0000 0.0000 2.5457
Ni 2.2067 2.2067 1.2276
Ni 2.2067 2.2067 3.8639
Ge 0.0000 2.2067 2.5457
Ge 2.2067 0.0000 2.5457
CELL_PARAMETERS angstrom
4.4133 0.0000 0.0000
0.0000 4.4133 0.0000
0.0000 0.0000 5.0915
```

Summary:
As for the total moment: 0.00 μB per cell. The calculation puts the formation energy from the elements at -0.89 eV per formula unit. Its density of states at the Fermi level is 2.29 states/eV per cell. For the volume, the calculation gives 16.53 Å³/atom. The uncorrected energy comes out at -5.560 eV/atom.